The following is a PBE calculation of an optimized crystal structure of NaSi2Tc2, from the Alexandria database.

Structure (POSCAR):
```
NaSi2Tc2
1.0
-2.906 3.305 0.725
-2.788 -1.798 -2.981
-4.764 -1.642 2.110
Tc Na Si
2 1 2
Direct
0.627 0.627 0.746
0.373 0.373 0.254
0.000 0.000 0.000
0.750 0.250 0.500
0.250 0.750 0.500
```

Values from the calculation:
Symmetry ... I4/mmm (139)
Magnetization ... 0.000 μB/atom
Energy above the most stable polymorph in this dataset ... 275.1 meV per atom